[1]
Material: CsInAg
Method: DFT, PBE
State: relaxed

crystal system	triclinic
DFT formation energy	-0.1	eV/f.u.
magnetization	0.0	μB/f.u.

abc: 5.374 5.401 7.918
angles: 89.88 89.88 83.04
Space group P-1 (No. 2)
Symmetry-distinct sites (fractional):
Cs  0.250  0.250  0.142 [2 per cell]
In  0.252  0.748  0.503 [2 per cell]
Ag  0.248  0.248  0.634 [2 per cell]

=====

[2]
Material: HfAsCl2O
Method: DFT, PBE
State: relaxed

raw formation energy	-0.1731	eV per atom
crystal system	tetragonal
magnetization	1.0	μB/f.u.

abc: 4.873 4.873 5.331
angles: 90.00 90.00 90.00
Space group P4/mmm (No. 123)
Symmetry-distinct sites (fractional):
Hf  0.000  0.000  0.000 [1 per cell]
As  0.000  0.000  0.500 [1 per cell]
Cl  0.000  0.500  0.000 [2 per cell]
O  0.500  0.500  0.500 [1 per cell]